1.
Computed, not measured: a relaxed NpMn2MoO6 crystal at the GGA+U level of DFT.

Computed properties:
- DOS at the Fermi energy: 0.7538 states/eV/atom
- Volume: 382 Å³ per cell
- Uncorrected energy: -8.29 eV/atom
- Magnetization: 33.000 Bohr magnetons per cell

```
data_NpMn2MoO6
_space_group_name_H-M_alt 'R 3'
_space_group_IT_number 146
_space_group_name_Hall 'R 3'
_cell_length_a 5.4551
_cell_length_b 5.4551
_cell_length_c 14.8415
_cell_angle_alpha 90.00
_cell_angle_beta 90.00
_cell_angle_gamma 120.00
loop_
_atom_site_label
_atom_site_type_symbol
_atom_site_fract_x
_atom_site_fract_y
_atom_site_fract_z
_atom_site_occupancy
Np1 Np 0.0000 0.0000 0.0000 1
Mn1 Mn 0.0000 0.0000 0.2092 1
Mn2 Mn 0.0000 0.0000 0.6976 1
Mo1 Mo 0.0000 0.0000 0.4965 1
O1 O 0.0042 0.6941 0.0924 1
O2 O 0.0060 0.2990 0.5951 1
```

2.
Computed, not measured: a relaxed NpMnMoO6 crystal at the GGA+U level of DFT.

Computed properties:
- DOS at the Fermi energy: 0.3418 states/eV/atom
- Volume: 235 Å³ per cell
- Uncorrected energy: -8.48 eV/atom
- Magnetization: 16.000 Bohr magnetons per cell

```
data_NpMnMoO6
_space_group_name_H-M_alt 'P -3 1 c'
_space_group_IT_number 163
_space_group_name_Hall '-P 3 2c'
_cell_length_a 5.4291
_cell_length_b 5.4291
_cell_length_c 9.2074
_cell_angle_alpha 90.00
_cell_angle_beta 90.00
_cell_angle_gamma 120.00
loop_
_atom_site_label
_atom_site_type_symbol
_atom_site_fract_x
_atom_site_fract_y
_atom_site_fract_z
_atom_site_occupancy
Np1 Np 0.3333 0.6667 0.2500 1
Mn1 Mn 0.0000 0.0000 0.0000 1
Mo1 Mo 0.3333 0.6667 0.7500 1
O1 O 0.0044 0.3465 0.6332 1
```

3.
Computed, not measured: a relaxed MnMoO2 crystal at the GGA+U level of DFT.

Computed properties:
- DOS at the Fermi energy: 0.0000 states/eV/atom
- Volume: 170 Å³ per cell
- Uncorrected energy: -6.79 eV/atom
- Magnetization: 20.000 Bohr magnetons per cell
- Distance to the lowest polymorph of the same formula: 0.570 eV/atom

```
data_MnMoO2
_space_group_name_H-M_alt 'F m -3 m'
_space_group_IT_number 225
_space_group_name_Hall '-F 4 2 3'
_cell_length_a 5.542
_cell_length_b 5.542
_cell_length_c 5.542
_cell_angle_alpha 90.00
_cell_angle_beta 90.00
_cell_angle_gamma 90.00
loop_
_atom_site_label
_atom_site_type_symbol
_atom_site_fract_x
_atom_site_fract_y
_atom_site_fract_z
_atom_site_occupancy
Mn1 Mn 0.000 0.000 0.000 1
Mo1 Mo 0.000 0.000 0.500 1
O1 O 0.250 0.250 0.250 1
```

4.
Computed, not measured: a relaxed Mn2Mo3O8 crystal at the GGA+U level of DFT.

Computed properties:
- DOS at the Fermi energy: 0.0000 states/eV/atom
- Volume: 315 Å³ per cell
- Uncorrected energy: -7.43 eV/atom
- Magnetization: 19.996 Bohr magnetons per cell

```
data_Mn2Mo3O8
_space_group_name_H-M_alt 'P 63 m c'
_space_group_IT_number 186
_space_group_name_Hall 'P 6c -2c'
_cell_length_a 5.9021
_cell_length_b 5.9021
_cell_length_c 10.4375
_cell_angle_alpha 90.00
_cell_angle_beta 90.00
_cell_angle_gamma 120.00
loop_
_atom_site_label
_atom_site_type_symbol
_atom_site_fract_x
_atom_site_fract_y
_atom_site_fract_z
_atom_site_occupancy
Mn1 Mn 0.3333 0.6667 0.0000 1
Mn2 Mn 0.3333 0.6667 0.4357 1
Mo1 Mo 0.1458 0.2917 0.7350 1
O1 O 0.0000 0.0000 0.3737 1
O2 O 0.0260 0.5130 0.8444 1
O3 O 0.1647 0.3294 0.1209 1
O4 O 0.3333 0.6667 0.6334 1
```

5.
Computed, not measured: a relaxed MnMoO3 crystal at the GGA+U level of DFT.

Computed properties:
- DOS at the Fermi energy: 0.4243 states/eV/atom
- Volume: 55 Å³ per cell
- Uncorrected energy: -6.66 eV/atom
- Magnetization: 7.000 Bohr magnetons per cell

```
data_MnMoO3
_space_group_name_H-M_alt 'P m -3 m'
_space_group_IT_number 221
_space_group_name_Hall '-P 4 2 3'
_cell_length_a 3.799
_cell_length_b 3.799
_cell_length_c 3.799
_cell_angle_alpha 90.00
_cell_angle_beta 90.00
_cell_angle_gamma 90.00
loop_
_atom_site_label
_atom_site_type_symbol
_atom_site_fract_x
_atom_site_fract_y
_atom_site_fract_z
_atom_site_occupancy
Mn1 Mn 0.000 0.000 0.000 1
Mo1 Mo 0.500 0.500 0.500 1
O1 O 0.000 0.000 0.500 1
```

6.
Computed, not measured: a relaxed MnMoO5 crystal at the GGA+U level of DFT.

Computed properties:
- Volume: 211 Å³ per cell
- Uncorrected energy: -6.92 eV/atom
- Magnetization: 6.002 Bohr magnetons per cell

```
data_MnMoO5
_space_group_name_H-M_alt 'P -1'
_space_group_IT_number 2
_space_group_name_Hall '-P 1'
_cell_length_a 5.648
_cell_length_b 5.676
_cell_length_c 6.965
_cell_angle_alpha 87.68
_cell_angle_beta 73.93
_cell_angle_gamma 79.84
loop_
_atom_site_label
_atom_site_type_symbol
_atom_site_fract_x
_atom_site_fract_y
_atom_site_fract_z
_atom_site_occupancy
Mn1 Mn 0.181 0.301 0.329 1
Mo1 Mo 0.353 0.278 0.784 1
O1 O 0.043 0.894 0.602 1
O2 O 0.149 0.381 0.620 1
O3 O 0.172 0.284 0.039 1
O4 O 0.420 0.531 0.245 1
O5 O 0.490 0.019 0.278 1
```